Compound: AgSeS
Source: Alexandria
Functional: PBE
Structure: optimized geometry

Space group   C2, No. 5
Magnetization   0.0000 μB/atom
Crystal system   monoclinic
Formation energy without anion corrections   0.0636 eV per atom

Cell: 5.9181 6.0171 7.5703 Å, 49.33 67.01 89.96°
Sites, in units of the cell vectors:
S 0.3345 0.0518 0.7839
S 0.6208 0.9535 0.2124
Ag 0.5460 0.7174 0.0582
Ag 0.1058 0.2881 0.9380
Se 0.0704 0.8282 0.7590
Se 0.3320 0.1779 0.2366

---

Compound: Fe2NiW2
Source: Alexandria
Functional: PBE
Structure: optimized geometry

E_form   0.22 eV/atom
Space group   P4/mbm, No. 127
Magnetization   0.0000 μB/atom
DOS at the Fermi energy   0.71 states/eV per atom
Crystal system   tetragonal

Cell: 6.8119 6.8119 2.8567 Å, 90.00 90.00 90.00°
Sites, in units of the cell vectors:
Ni 0.0000 0.0000 0.0000
Ni 0.5000 0.5000 0.0000
Fe 0.3667 0.8667 0.0000
Fe 0.8667 0.6333 0.0000
Fe 0.6333 0.1333 0.0000
Fe 0.1333 0.3667 0.0000
W 0.1690 0.6690 0.5000
W 0.6690 0.8310 0.5000
W 0.8310 0.3310 0.5000
W 0.3310 0.1690 0.5000

---

Compound: AcTeAu
Source: Alexandria
Functional: PBE
Structure: optimized geometry

Space group   F-43m, No. 216
Magnetization   0.0000 μB/atom
DOS at the Fermi energy   0.00 states/eV per atom
Crystal system   cubic
Formation energy without anion corrections   -1.0299 eV per atom

Cell: 5.4020 5.4020 5.4020 Å, 60.00 60.00 60.00°
Sites, in units of the cell vectors:
Ac 0.2500 0.2500 0.2500
Te 0.5000 0.5000 0.5000
Au 0.0000 0.0000 0.0000

---

Compound: CdCoRh2
Source: Alexandria
Functional: PBE
Structure: optimized geometry

E_form   0.17 eV/atom
Space group   I-4m2, No. 119
Magnetization   0.6419 μB/atom
DOS at the Fermi energy   1.96 states/eV per atom
Crystal system   tetragonal

Cell: 4.8322 4.8322 4.8322 Å, 132.88 132.88 68.84°
Last column: magnetic moment on the atom in μB.
Sites, in units of the cell vectors:
Cd 0.5000 0.5000 0.0000  -0.02
Co 0.7500 0.2500 0.5000  1.82
Rh 0.0000 0.0000 0.0000  0.42
Rh 0.2500 0.7500 0.5000  0.42

---

Compound: Tb8Ge3Te4Se
Source: Alexandria
Functional: PBE
Structure: optimized geometry

Space group   R-3m, No. 166
Magnetization   0.0000 μB/atom
DOS at the Fermi energy   0.21 states/eV per atom
Crystal system   trigonal
Formation energy without anion corrections   -1.3307 eV per atom

Cell: 8.4956 8.6195 8.4957 Å, 119.53 120.00 90.00°
Sites, in units of the cell vectors:
Tb 0.2444 0.7215 0.9771
Tb 0.2444 0.7216 0.4888
Tb 0.2593 0.2779 0.5186
Tb 0.7328 0.7215 0.9771
Tb 0.2672 0.2785 0.0229
Tb 0.7407 0.7221 0.4814
Tb 0.7556 0.2784 0.5112
Tb 0.7556 0.2785 0.0229
Ge 0.5000 0.5000 0.0000
Ge 0.5000 0.5000 0.5000
Ge 0.0000 0.5000 0.5000
Te 0.5000 0.0000 0.0000
Te 0.5000 0.0000 0.5000
Te 0.0000 0.0000 0.0000
Te 0.0000 0.0000 0.5000
Se 0.0000 0.5000 0.0000

---

Compound: Pm2Nd5Tm12
Source: Alexandria
Functional: PBE
Structure: optimized geometry

E_form   0.18 eV/atom
Space group   C2/m, No. 12
Magnetization   0.0000 μB/atom
DOS at the Fermi energy   1.33 states/eV per atom
Crystal system   monoclinic

Cell: 7.0436 9.7811 10.2974 Å, 70.38 90.00 111.10°
Sites, in units of the cell vectors:
Pm 0.7219 0.0000 0.0000
Pm 0.2781 0.0000 0.0000
Nd 0.1893 0.3786 0.8146
Nd 0.3179 0.6358 0.2119
Nd 0.0000 0.0000 0.5000
Nd 0.6821 0.3642 0.7881
Nd 0.8107 0.6214 0.1854
Tm 0.9755 0.9510 0.2446
Tm 0.0887 0.6836 0.8678
Tm 0.5949 0.6836 0.8678
Tm 0.0909 0.6762 0.5198
Tm 0.5853 0.6762 0.5198
Tm 0.4962 0.9923 0.6726
Tm 0.5038 0.0077 0.3274
Tm 0.9091 0.3238 0.4802
Tm 0.4147 0.3238 0.4802
Tm 0.9113 0.3164 0.1322
Tm 0.4051 0.3164 0.1322
Tm 0.0245 0.0490 0.7554

---

Compound: KP2W
Source: Alexandria
Functional: PBE
Structure: optimized geometry

E_form   -0.12 eV/atom
Space group   Pmm2, No. 25
Magnetization   0.0000 μB/atom
DOS at the Fermi energy   0.45 states/eV per atom
Crystal system   orthorhombic

Cell: 3.4085 3.1400 8.4470 Å, 68.18 90.00 90.00°
Sites, in units of the cell vectors:
K 0.5000 0.7308 0.7687
P 0.0000 0.9527 0.0475
P 0.5000 0.5931 0.4070
W 0.0000 0.2234 0.2768

---

Compound: Zr2ZnSe
Source: Alexandria
Functional: PBE
Structure: optimized geometry

Space group   R3m, No. 160
Magnetization   0.0000 μB/atom
DOS at the Fermi energy   0.59 states/eV per atom
Crystal system   trigonal
Formation energy without anion corrections   -0.3592 eV per atom

Cell: 8.6746 8.6746 8.6746 Å, 23.00 23.00 23.00°
Sites, in units of the cell vectors:
Se 0.5003 0.5003 0.5003
Zn 0.7568 0.7568 0.7568
Zr 0.0020 0.0020 0.0020
Zr 0.2409 0.2409 0.2409

---

Compound: Pr8Sm3
Source: Alexandria
Functional: PBE
Structure: optimized geometry

E_form   0.01 eV/atom
Space group   C2/m, No. 12
Magnetization   0.0000 μB/atom
DOS at the Fermi energy   1.65 states/eV per atom
Crystal system   monoclinic

Cell: 5.2067 6.4142 13.3172 Å, 103.79 90.00 113.95°
Sites, in units of the cell vectors:
Pr 0.7277 0.4555 0.0911
Pr 0.2723 0.5445 0.9089
Pr 0.5453 0.0906 0.8180
Pr 0.4547 0.9094 0.1820
Pr 0.8181 0.6362 0.7274
Pr 0.1819 0.3638 0.2726
Pr 0.6362 0.2723 0.4546
Pr 0.3638 0.7277 0.5454
Sm 0.0000 0.0000 0.0000
Sm 0.9095 0.8190 0.3645
Sm 0.0905 0.1810 0.6355

---

Compound: ReAsNF2
Source: Alexandria
Functional: PBE
Structure: optimized geometry

Space group   P4/mmm, No. 123
Magnetization   0.9415 μB/atom
DOS at the Fermi energy   0.15 states/eV per atom
Crystal system   tetragonal
Formation energy without anion corrections   0.6944 eV per atom

Cell: 4.0044 4.0044 4.6172 Å, 90.00 90.00 90.00°
Last column: magnetic moment on the atom in μB.
Sites, in units of the cell vectors:
Re 0.5000 0.5000 0.5000  3.90
As 0.0000 0.0000 0.0000  0.00
N 0.0000 0.0000 0.5000  -0.05
F 0.0000 0.5000 0.0000  0.05
F 0.5000 0.0000 0.0000  0.05

---

Compound: Na2MgGa3Au12
Source: Alexandria
Functional: PBE
Structure: optimized geometry

E_form   -0.05 eV/atom
Space group   R-3m, No. 166
Magnetization   0.0000 μB/atom
DOS at the Fermi energy   0.18 states/eV per atom
Crystal system   trigonal

Cell: 7.8817 7.8817 7.8817 Å, 67.84 67.84 67.84°
Sites, in units of the cell vectors:
Na 0.5880 0.5880 0.5880
Na 0.4120 0.4120 0.4120
Mg 0.0000 0.0000 0.0000
Ga 0.5000 0.0000 0.0000
Ga 0.0000 0.5000 0.0000
Ga 0.0000 0.0000 0.5000
Au 0.3667 0.3667 0.9399
Au 0.8459 0.8459 0.3700
Au 0.3700 0.8459 0.8459
Au 0.9399 0.3667 0.3667
Au 0.8459 0.3700 0.8459
Au 0.3667 0.9399 0.3667
Au 0.6333 0.6333 0.0601
Au 0.1541 0.1541 0.6300
Au 0.6300 0.1541 0.1541
Au 0.0601 0.6333 0.6333
Au 0.1541 0.6300 0.1541
Au 0.6333 0.0601 0.6333

---

Compound: BiIO4
Source: Alexandria
Functional: PBE
Structure: optimized geometry

Space group   P-1, No. 2
Magnetization   0.0000 μB/atom
DOS at the Fermi energy   0.00 states/eV per atom
Crystal system   triclinic
Formation energy without anion corrections   -0.6906 eV per atom

Cell: 6.0793 5.6657 6.9470 Å, 118.98 114.23 77.31°
Sites, in units of the cell vectors:
Bi 0.3590 0.5793 0.2464
Bi 0.6410 0.4207 0.7536
I 0.8611 0.1351 0.2885
I 0.1389 0.8649 0.7114
O 0.2811 0.9969 0.5886
O 0.9100 0.7738 0.0628
O 0.2656 0.4816 0.4754
O 0.3811 0.7693 0.9350
O 0.7189 0.0031 0.4114
O 0.7344 0.5184 0.5246
O 0.0900 0.2262 0.9372
O 0.6189 0.2307 0.0650